[1]
Computed, not measured: an optimized crystal structure of CeNd8Er6 at the PBE level of DFT.

POSCAR file:
```
CeNd8Er6
1.0
4.547 2.625 6.971
-4.547 2.625 6.971
0.000 -5.251 6.971
Ce Nd Er
1 8 6
direct
0.000 0.000 0.000
0.115 0.714 0.759
0.241 0.885 0.286
0.286 0.241 0.885
0.422 0.422 0.422
0.578 0.578 0.578
0.714 0.759 0.115
0.759 0.115 0.714
0.885 0.286 0.241
0.095 0.537 0.250
0.250 0.095 0.537
0.463 0.750 0.905
0.537 0.250 0.095
0.750 0.905 0.463
0.905 0.463 0.750
```

Values from the calculation:
Total DFT energy (no corrections)   -69.5 eV/cell
Crystal system   trigonal
Symmetry   R-3 (148)

[2]
Computed, not measured: an optimized crystal structure of RbAgS5 at the PBE level of DFT.

POSCAR file:
```
RbAgS5
1.0
6.091 0.000 0.000
2.672 7.067 0.000
2.865 1.384 9.949
Rb Ag S
2 2 10
direct
0.194 0.252 0.223
0.806 0.748 0.777
0.000 0.000 0.000
0.500 0.500 0.500
0.056 0.297 0.908
0.241 0.999 0.612
0.371 0.863 0.455
0.420 0.272 0.857
0.427 0.523 0.740
0.573 0.477 0.260
0.580 0.728 0.143
0.629 0.137 0.545
0.759 0.001 0.388
0.944 0.703 0.092
```

Values from the calculation:
Raw formation energy   -0.262 eV per atom
Crystal system   triclinic
Symmetry   P-1 (2)

[3]
Computed, not measured: an optimized crystal structure of TbTm2ScTl2 at the PBE level of DFT.

POSCAR file:
```
TbTm2ScTl2
1.0
4.933 0.000 0.000
0.000 9.690 0.000
0.000 0.000 6.836
Tb Tm Sc Tl
2 4 2 4
direct
0.000 0.048 0.000
0.000 0.952 0.500
0.000 0.311 0.391
0.000 0.689 0.891
0.500 0.452 0.100
0.500 0.548 0.600
0.500 0.197 0.713
0.500 0.803 0.213
0.000 0.366 0.840
0.000 0.634 0.340
0.500 0.123 0.271
0.500 0.877 0.771
```

Values from the calculation:
Total DFT energy (no corrections)   -52.3 eV/cell
Crystal system   orthorhombic
Symmetry   Pmc2_1 (26)

[4]
Computed, not measured: an optimized crystal structure of Ag2MoRh at the PBE level of DFT.

POSCAR file:
```
Ag2MoRh
1.0
3.019 0.000 0.000
0.000 4.489 0.000
0.000 0.000 9.654
Ag Mo Rh
4 2 2
direct
0.000 0.000 0.245
0.000 0.000 0.755
0.500 0.500 0.245
0.500 0.500 0.755
0.000 0.500 0.500
0.500 0.000 0.500
0.000 0.500 0.000
0.500 0.000 0.000
```

Values from the calculation:
Crystal system   orthorhombic
Polymorph energy (0 for the lowest one)   317 meV per atom
Symmetry   Cmmm (65)

[5]
Computed, not measured: an optimized crystal structure of Pr6Tm5Mg at the PBE level of DFT.

POSCAR file:
```
Pr6Tm5Mg
1.0
-2.580 4.889 7.749
2.580 -4.889 7.749
2.580 4.889 -7.749
Pr Tm Mg
6 5 1
direct
0.079 0.332 0.747
0.247 0.000 0.247
0.415 0.668 0.747
0.585 0.332 0.253
0.753 0.000 0.753
0.921 0.668 0.253
0.170 0.170 0.000
0.335 0.835 0.500
0.500 0.500 0.000
0.665 0.165 0.500
0.830 0.830 0.000
0.000 0.500 0.500
```

Values from the calculation:
Total DFT energy (no corrections)   -52.4 eV/cell
Crystal system   orthorhombic
Symmetry   Immm (71)

[6]
Computed, not measured: an optimized crystal structure of Ni2MoOs at the PBE level of DFT.

POSCAR file:
```
Ni2MoOs
1.0
5.924 0.000 0.000
0.000 5.924 0.000
0.000 0.000 5.924
Ni Mo Os
8 4 4
direct
0.250 0.250 0.250
0.250 0.250 0.750
0.250 0.750 0.250
0.250 0.750 0.750
0.750 0.250 0.250
0.750 0.250 0.750
0.750 0.750 0.250
0.750 0.750 0.750
0.000 0.000 0.000
0.000 0.500 0.500
0.500 0.000 0.500
0.500 0.500 0.000
0.000 0.000 0.500
0.000 0.500 0.000
0.500 0.000 0.000
0.500 0.500 0.500
```

Values from the calculation:
Crystal system   cubic
Polymorph energy (0 for the lowest one)   286 meV per atom
Symmetry   Fm-3m (225)

[7]
Computed, not measured: an optimized crystal structure of TaZnCrPt2 at the PBE level of DFT.

POSCAR file:
```
TaZnCrPt2
1.0
4.902 0.000 0.000
0.000 4.902 0.000
0.000 0.000 4.678
Ta Zn Cr Pt
1 1 1 2
direct
0.000 0.000 0.000
0.500 0.500 0.500
0.000 0.000 0.500
0.000 0.500 0.000
0.500 0.000 0.000
```

Values from the calculation:
Total DFT energy (no corrections)   -29.4 eV/cell
Crystal system   tetragonal
Symmetry   P4/mmm (123)

[8]
Computed, not measured: an optimized crystal structure of ThCdGa2Pd5 at the PBE level of DFT.

POSCAR file:
```
ThCdGa2Pd5
1.0
4.207 0.000 0.000
0.000 4.207 0.000
0.000 0.000 9.402
Th Cd Ga Pd
1 1 2 5
direct
0.000 0.000 0.000
0.000 0.000 0.500
0.500 0.500 0.372
0.500 0.500 0.628
0.000 0.500 0.224
0.000 0.500 0.776
0.500 0.000 0.224
0.500 0.000 0.776
0.500 0.500 0.000
```

Values from the calculation:
Total DFT energy (no corrections)   -45.9 eV/cell
Crystal system   tetragonal
Symmetry   P4/mmm (123)

[9]
Computed, not measured: an optimized crystal structure of Sn4As2P at the PBE level of DFT.

POSCAR file:
```
Sn4As2P
1.0
5.900 0.000 0.000
0.000 5.900 0.000
0.000 0.000 11.620
Sn As P
8 4 2
direct
0.214 0.214 0.098
0.214 0.786 0.902
0.286 0.286 0.598
0.286 0.714 0.402
0.714 0.286 0.402
0.714 0.714 0.598
0.786 0.214 0.902
0.786 0.786 0.098
0.000 0.500 0.250
0.000 0.500 0.750
0.500 0.000 0.250
0.500 0.000 0.750
0.000 0.000 0.500
0.500 0.500 0.000
```

Values from the calculation:
Total DFT energy (no corrections)   -61.3 eV/cell
Crystal system   tetragonal
Symmetry   I-42m (121)

What did the fifth record say?
Computed, not measured: an optimized crystal structure of Pr6Tm5Mg at the PBE level of DFT.

POSCAR file:
```
Pr6Tm5Mg
1.0
-2.580 4.889 7.749
2.580 -4.889 7.749
2.580 4.889 -7.749
Pr Tm Mg
6 5 1
direct
0.079 0.332 0.747
0.247 0.000 0.247
0.415 0.668 0.747
0.585 0.332 0.253
0.753 0.000 0.753
0.921 0.668 0.253
0.170 0.170 0.000
0.335 0.835 0.500
0.500 0.500 0.000
0.665 0.165 0.500
0.830 0.830 0.000
0.000 0.500 0.500
```

Values from the calculation:
Total DFT energy (no corrections)   -52.4 eV/cell
Crystal system   orthorhombic
Symmetry   Immm (71)